#A
This record from OQMD describes a relaxed BeAlCdAu crystal. The functional is PBE-GGA.

```
data_BeAlCdAu
_cell_length_a 6.3279
_cell_length_b 6.3279
_cell_length_c 6.3279
_cell_angle_alpha 90.00
_cell_angle_beta 90.00
_cell_angle_gamma 90.00
_space_group_name_H-M_alt 'F -4 3 m'
_space_group_IT_number 216
_space_group_name_Hall 'F -4 2 3'
loop_
_atom_site_label
_atom_site_type_symbol
_atom_site_fract_x
_atom_site_fract_y
_atom_site_fract_z
Be1 Be 0.0000 0.0000 0.0000
Al1 Al 0.0000 0.0000 0.5000
Cd1 Cd 0.2500 0.2500 0.2500
Au1 Au 0.2500 0.2500 0.7500
```

density: 9054 kg/m3


#B
This record from OQMD describes a relaxed BeAlCdAu crystal. The functional is PBE-GGA.

```
data_BeAlCdAu
_cell_length_a 6.4158
_cell_length_b 6.4158
_cell_length_c 6.4158
_cell_angle_alpha 90.00
_cell_angle_beta 90.00
_cell_angle_gamma 90.00
_space_group_name_H-M_alt 'F -4 3 m'
_space_group_IT_number 216
_space_group_name_Hall 'F -4 2 3'
loop_
_atom_site_label
_atom_site_type_symbol
_atom_site_fract_x
_atom_site_fract_y
_atom_site_fract_z
Be1 Be 0.0000 0.0000 0.0000
Al1 Al 0.2500 0.2500 0.7500
Cd1 Cd 0.2500 0.2500 0.2500
Au1 Au 0.0000 0.0000 0.5000
```

density: 8686 kg/m3


Which is most stable? The ranking, best first, is #A, #B.


#A
This record from OQMD describes a relaxed BeAlHgAu crystal. The functional is PBE-GGA.

```
data_BeAlHgAu
_cell_length_a 6.3781
_cell_length_b 6.3781
_cell_length_c 6.3781
_cell_angle_alpha 90.00
_cell_angle_beta 90.00
_cell_angle_gamma 90.00
_space_group_name_H-M_alt 'F -4 3 m'
_space_group_IT_number 216
_space_group_name_Hall 'F -4 2 3'
loop_
_atom_site_label
_atom_site_type_symbol
_atom_site_fract_x
_atom_site_fract_y
_atom_site_fract_z
Be1 Be 0.0000 0.0000 0.0000
Al1 Al 0.0000 0.0000 0.5000
Hg1 Hg 0.2500 0.2500 0.2500
Au1 Au 0.2500 0.2500 0.7500
```

density: 11099 kg/m3


#B
This record from OQMD describes a relaxed BeAlHgAu crystal. The functional is PBE-GGA.

```
data_BeAlHgAu
_cell_length_a 6.5016
_cell_length_b 6.5016
_cell_length_c 6.5016
_cell_angle_alpha 90.00
_cell_angle_beta 90.00
_cell_angle_gamma 90.00
_space_group_name_H-M_alt 'F -4 3 m'
_space_group_IT_number 216
_space_group_name_Hall 'F -4 2 3'
loop_
_atom_site_label
_atom_site_type_symbol
_atom_site_fract_x
_atom_site_fract_y
_atom_site_fract_z
Be1 Be 0.0000 0.0000 0.0000
Al1 Al 0.2500 0.2500 0.7500
Hg1 Hg 0.2500 0.2500 0.2500
Au1 Au 0.0000 0.0000 0.5000
```

density: 10478 kg/m3


Which is most stable? The ranking, best first, is #A, #B.